The following is a DFT calculation (PBE-GGA) of an optimized crystal structure of Y7Ho3Th2.

Cell: 3.6505 5.5921 20.6255 Å, 90.00 95.11 90.00°
With the nearest neighbours (Å) after each atom.
Atoms (fractional coordinates):
Y (0.2866, 0.5000, 0.5724)  1 Th 3.13, 2 Y 3.49
Y (0.7134, 0.5000, 0.4276)  1 Th 3.13, 2 Y 3.49
Y (0.4147, 0.0000, 0.8308)  6 Y 3.43-3.65, 2 Th 3.55
Y (0.0000, 0.0000, 0.0000)  4 Ho 3.34, 2 Y 3.65
Y (0.5853, 0.0000, 0.1692)  6 Y 3.43-3.65, 2 Th 3.55
Y (0.0663, 0.5000, 0.1314)  2 Ho 3.26, 4 Y 3.43, 2 Th 3.47-3.48
Y (0.9337, 0.5000, 0.8686)  2 Ho 3.26, 4 Y 3.43, 2 Th 3.47-3.48
Ho (0.5000, 0.5000, 0.0000)  8 Y 3.26-3.34
Ho (0.8318, 0.0000, 0.6648)  4 Th 3.56, 2 Ho 3.65, 6 Y 3.84-3.87
Ho (0.1682, 0.0000, 0.3352)  4 Th 3.56, 2 Ho 3.65, 6 Y 3.84-3.87
Th (0.3616, 0.5000, 0.7247)  3 Y 3.13-3.48
Th (0.6384, 0.5000, 0.2753)  3 Y 3.13-3.48

Summary:
Space-group type: No. 10
Energy of formation from the pure elements, eV per atom: 0.2840
Total magnetic moment, μB/atom: 0.0000

The following is a DFT calculation (PBE-GGA) of an optimized crystal structure of La2SiAs2.

Cell: 7.6724 7.6724 4.2755 Å, 90.00 90.00 90.00°
With the nearest neighbours (Å) after each atom.
Atoms (fractional coordinates):
As (0.3457, 0.8457, 0.0000)  2 Si 2.90, 6 La 2.94-3.22
As (0.8457, 0.6543, 0.0000)  2 Si 2.90, 6 La 2.94-3.22
As (0.6543, 0.1543, 0.0000)  2 Si 2.90, 6 La 2.94-3.22
As (0.1543, 0.3457, 0.0000)  2 Si 2.90, 6 La 2.94-3.22
Si (0.0000, 0.0000, 0.0000)  4 As 2.90
Si (0.5000, 0.5000, 0.0000)  4 As 2.90
La (0.1598, 0.6598, 0.5000)  6 As 2.94-3.22
La (0.6598, 0.8402, 0.5000)  6 As 2.94-3.22
La (0.8402, 0.3402, 0.5000)  6 As 2.94-3.22
La (0.3402, 0.1598, 0.5000)  6 As 2.94-3.22

Summary:
Space-group type: No. 127
Total DFT energy (no corrections), eV/atom: -5.816
Total magnetic moment, μB/atom: 0.0000